Entry 1:
An optimized crystal structure of InPd3Au5, computed with PBE.

Results
- total magnetic moment (μB per formula unit) = 0.00
- symmetry = No. 12
- DFT total energy (eV/atom) = -3.771
- Fermi-level density of states (states/eV per cell) = 4.96

Lattice parameters (Å, degrees): 5.8252 5.8252 10.8669 84.17 84.17 83.64
Element x y z (fractional)
Au: 0.9752 0.4122 0.3330
Au: 0.0248 0.5878 0.6670
Au: 0.5878 0.0248 0.6670
Au: 0.5347 0.5347 0.6961
Au: 0.4653 0.4653 0.3039
Au: 0.4122 0.9752 0.3330
Au: 0.2861 0.2861 0.8721
Au: 0.3271 0.6729 0.0000
Au: 0.7139 0.7139 0.1279
Au: 0.6729 0.3271 0.0000
In: 0.9490 0.9490 0.2625
In: 0.0510 0.0510 0.7375
Pd: 0.0000 0.0000 0.0000
Pd: 0.0000 0.0000 0.5000
Pd: 0.7555 0.7555 0.8672
Pd: 0.2445 0.2445 0.1328
Pd: 0.6971 0.6971 0.4711
Pd: 0.3029 0.3029 0.5289



Entry 2:
An optimized crystal structure of TcAs2Se, computed with PBE.

Results
- total magnetic moment (μB per formula unit) = 0.68
- symmetry = No. 12
- DFT total energy (eV/atom) = -5.462
- energy above the lowest structure with this stoichiometry (meV per atom) = 356
- Fermi-level density of states (states/eV per cell) = 3.71

Lattice parameters (Å, degrees): 4.5742 4.5742 4.5636 70.46 70.46 109.16
Element x y z (fractional)
As: 0.5000 0.5000 0.0000
As: 0.0000 0.0000 0.0000
Tc: 0.0000 0.5000 0.5000
Se: 0.5000 0.0000 0.5000



Entry 3:
An optimized crystal structure of PrTmZr2, computed with PBE.

Results
- total magnetic moment (μB per formula unit) = 0.00
- symmetry = No. 123
- DFT total energy (eV/atom) = -6.428
- energy above the lowest structure with this stoichiometry (meV per atom) = 0
- Fermi-level density of states (states/eV per cell) = 4.16

Lattice parameters (Å, degrees): 4.8132 4.7481 4.7481 90.00 90.00 90.00
Element x y z (fractional)
Zr: 0.0000 0.5000 0.0000
Zr: 0.0000 0.0000 0.5000
Tm: 0.5000 0.0000 0.0000
Pr: 0.5000 0.5000 0.5000



Entry 4:
An optimized crystal structure of Ho2BeHg, computed with PBE.

Results
- total magnetic moment (μB per formula unit) = 0.00
- symmetry = No. 225
- DFT total energy (eV/atom) = -3.422
- energy above the lowest structure with this stoichiometry (meV per atom) = 75
- Fermi-level density of states (states/eV per cell) = 3.83

Lattice parameters (Å, degrees): 5.0698 5.0698 5.0698 60.00 60.00 60.00
Element x y z (fractional)
Ho: 0.2500 0.2500 0.2500
Ho: 0.7500 0.7500 0.7500
Hg: 0.5000 0.5000 0.5000
Be: 0.0000 0.0000 0.0000



Entry 5:
An optimized crystal structure of LiZn2Tc, computed with PBE.

Results
- total magnetic moment (μB per formula unit) = 0.00
- symmetry = No. 65
- DFT total energy (eV/atom) = -3.714
- energy above the lowest structure with this stoichiometry (meV per atom) = 80
- Fermi-level density of states (states/eV per cell) = 1.63

Lattice parameters (Å, degrees): 2.6202 2.6202 8.6643 90.00 90.00 105.00
Element x y z (fractional)
Li: 0.5000 0.5000 0.2500
Tc: 0.5000 0.5000 0.7500
Zn: 0.0000 0.0000 0.4974
Zn: 0.0000 0.0000 0.0026



Entry 6:
An optimized crystal structure of TaVS, computed with PBE.

Results
- total magnetic moment (μB per formula unit) = 0.00
- symmetry = No. 156
- DFT total energy (eV/atom) = -8.648
- energy above the lowest structure with this stoichiometry (meV per atom) = 314
- Fermi-level density of states (states/eV per cell) = 2.01

Lattice parameters (Å, degrees): 3.3537 3.3537 4.8069 90.00 90.00 120.00
Element x y z (fractional)
V: 0.0000 0.0000 0.0721
Ta: 0.3333 0.6667 0.6129
S: 0.6667 0.3333 0.3150



Entry 7:
An optimized crystal structure of Nd2Sn5Pt3, computed with PBE.

Results
- total magnetic moment (μB per formula unit) = 0.00
- symmetry = No. 36
- DFT total energy (eV/atom) = -5.563
- Fermi-level density of states (states/eV per cell) = 5.79

Lattice parameters (Å, degrees): 4.6023 7.4777 13.5208 90.00 99.80 90.00
Element x y z (fractional)
Pt: 0.6052 0.5140 0.2105
Pt: 0.3948 0.0140 0.7895
Pt: 0.7770 0.7129 0.5540
Pt: 0.0512 0.9701 0.1024
Pt: 0.2230 0.2129 0.4460
Pt: 0.9488 0.4701 0.8976
Sn: 0.5976 0.8854 0.1952
Sn: 0.9517 0.0913 0.9033
Sn: 0.4024 0.3854 0.8048
Sn: 0.1200 0.2583 0.2401
Sn: 0.7040 0.4331 0.4080
Sn: 0.2890 0.5115 0.5779
Sn: 0.8800 0.7583 0.7599
Sn: 0.2960 0.9331 0.5920
Sn: 0.0483 0.5913 0.0967
Sn: 0.7110 0.0115 0.4221
Nd: 0.1725 0.7358 0.3450
Nd: 0.5235 0.2525 0.0470
Nd: 0.4765 0.7525 0.9530
Nd: 0.8275 0.2358 0.6550



Entry 8:
An optimized crystal structure of Pa2ZnCd, computed with PBE.

Results
- total magnetic moment (μB per formula unit) = 0.03
- symmetry = No. 166
- DFT total energy (eV/atom) = -5.046
- energy above the lowest structure with this stoichiometry (meV per atom) = 186
- Fermi-level density of states (states/eV per cell) = 7.44

Lattice parameters (Å, degrees): 3.0714 3.0714 11.8694 82.57 82.57 60.00
Element x y z (fractional)
Pa: 0.0939 0.0939 0.7182
Pa: 0.9061 0.9061 0.2818
Zn: 0.5000 0.5000 0.5000
Cd: 0.0000 0.0000 0.0000



Entry 9:
An optimized crystal structure of YCr2Se, computed with PBE.

Results
- total magnetic moment (μB per formula unit) = 6.52
- symmetry = No. 166
- DFT total energy (eV/atom) = -6.967
- Fermi-level density of states (states/eV per cell) = 5.47

Lattice parameters (Å, degrees): 8.5709 8.5709 8.5709 23.11 23.11 23.11
Element x y z (fractional)
Y: 0.7500 0.7500 0.7500
Cr: 0.9837 0.9837 0.9837
Cr: 0.5163 0.5163 0.5163
Se: 0.2500 0.2500 0.2500



Entry 10:
An optimized crystal structure of Pr3Pt2Au3, computed with PBE.

Results
- total magnetic moment (μB per formula unit) = 0.00
- symmetry = No. 12
- DFT total energy (eV/atom) = -5.320
- energy above the lowest structure with this stoichiometry (meV per atom) = 101
- Fermi-level density of states (states/eV per cell) = 4.03

Lattice parameters (Å, degrees): 4.1490 5.2819 9.2111 98.66 103.02 90.00
Element x y z (fractional)
Pt: 0.7632 0.8425 0.5263
Pt: 0.2368 0.1575 0.4737
Pr: 0.0000 0.0000 0.0000
Pr: 0.1572 0.5894 0.3145
Pr: 0.8428 0.4106 0.6855
Au: 0.6270 0.0907 0.2540
Au: 0.5000 0.5000 0.0000
Au: 0.3730 0.9093 0.7460



Entry 11:
An optimized crystal structure of FeBC3, computed with PBE.

Results
- total magnetic moment (μB per formula unit) = 0.00
- symmetry = No. 221
- DFT total energy (eV/atom) = -5.883
- energy above the lowest structure with this stoichiometry (meV per atom) = 304
- Fermi-level density of states (states/eV per cell) = 5.20

Lattice parameters (Å, degrees): 3.6955 3.6955 3.6955 90.00 90.00 90.00
Element x y z (fractional)
C: 0.5000 0.0000 0.0000
C: 0.0000 0.5000 0.0000
C: 0.0000 0.0000 0.5000
Fe: 0.0000 0.0000 0.0000
B: 0.5000 0.5000 0.5000



Entry 12:
An optimized crystal structure of TaAl2Rh, computed with PBE.

Results
- total magnetic moment (μB per formula unit) = 0.00
- symmetry = No. 123
- DFT total energy (eV/atom) = -7.145
- Fermi-level density of states (states/eV per cell) = 2.05

Lattice parameters (Å, degrees): 3.8439 4.0041 4.0041 90.00 90.00 90.00
Element x y z (fractional)
Ta: 0.5000 0.0000 0.5000
Al: 0.0000 0.0000 0.0000
Al: 0.0000 0.5000 0.5000
Rh: 0.5000 0.5000 0.0000



- Look up the Fermi-level density of states of the third one.
  4.16 states/eV per cell



- Which of these has the lowest DFT total energy?
  TaVS



Please write out number 7 again, unchanged.
An optimized crystal structure of Nd2Sn5Pt3, computed with PBE.

Results
- total magnetic moment (μB per formula unit) = 0.00
- symmetry = No. 36
- DFT total energy (eV/atom) = -5.563
- Fermi-level density of states (states/eV per cell) = 5.79

Lattice parameters (Å, degrees): 4.6023 7.4777 13.5208 90.00 99.80 90.00
Element x y z (fractional)
Pt: 0.6052 0.5140 0.2105
Pt: 0.3948 0.0140 0.7895
Pt: 0.7770 0.7129 0.5540
Pt: 0.0512 0.9701 0.1024
Pt: 0.2230 0.2129 0.4460
Pt: 0.9488 0.4701 0.8976
Sn: 0.5976 0.8854 0.1952
Sn: 0.9517 0.0913 0.9033
Sn: 0.4024 0.3854 0.8048
Sn: 0.1200 0.2583 0.2401
Sn: 0.7040 0.4331 0.4080
Sn: 0.2890 0.5115 0.5779
Sn: 0.8800 0.7583 0.7599
Sn: 0.2960 0.9331 0.5920
Sn: 0.0483 0.5913 0.0967
Sn: 0.7110 0.0115 0.4221
Nd: 0.1725 0.7358 0.3450
Nd: 0.5235 0.2525 0.0470
Nd: 0.4765 0.7525 0.9530
Nd: 0.8275 0.2358 0.6550